Record 1
Computed, not measured: a geometry-optimized ZrMn2Re structure at the PBE-GGA level of DFT.

Summary:
Crystal system: trigonal
Magnetic moment in μB/cell: 3.695
Energy of formation in meV/atom: 343
E above lowest polymorph in meV/atom: 303

Geometry as POSCAR:
```
ZrMn2Re
1.0
-7.556 -5.060 1.160
-7.464 -5.062 -1.647
-5.977 -6.949 -0.191
Mn Zr Re
2 1 1
Cartesian
-5.248 -4.267 -0.170
-20.779 -16.895 -0.671
-15.718 -12.780 -0.508
-10.747 -8.738 -0.347
```



Record 2
Computed, not measured: a geometry-optimized LiTiI3 structure at the PBE-GGA level of DFT.

Summary:
Crystal system: cubic
Magnetic moment in μB/cell: 2.000
Raw formation energy in eV/atom: -0.513

Geometry as POSCAR:
```
LiTiI3
1.0
5.718 0.000 0.000
0.000 5.718 0.000
0.000 0.000 5.718
I Ti Li
3 1 1
Cartesian
2.859 0.000 0.000
0.000 2.859 0.000
0.000 0.000 2.859
0.000 0.000 0.000
2.859 2.859 2.859
```



Record 3
Computed, not measured: a geometry-optimized RbGa2Sb2Au6 structure at the PBE-GGA level of DFT.

Summary:
Crystal system: triclinic
Magnetic moment in μB/cell: 0.000
Raw formation energy in eV/atom: -0.128

Geometry as POSCAR:
```
RbGa2Sb2Au6
1.0
-6.928 2.349 -1.432
-3.131 -2.293 -7.992
-2.425 -2.248 7.948
Sb Au Ga Rb
2 6 2 1
Cartesian
-7.367 1.001 -1.502
-5.117 -3.193 0.027
-1.392 -1.035 -2.603
-4.696 -3.612 -2.653
-7.788 1.420 1.178
-6.895 -2.582 1.998
-11.092 -1.158 1.128
-5.588 0.389 -3.473
-8.717 -0.839 1.909
-3.766 -1.353 -3.384
-4.677 0.050 3.258
```



Record 4
Computed, not measured: a geometry-optimized IrRu2W structure at the PBE-GGA level of DFT.

Summary:
Crystal system: trigonal
Magnetic moment in μB/cell: 0.000
Energy of formation in meV/atom: 77
E above lowest polymorph in meV/atom: 256

Geometry as POSCAR:
```
IrRu2W
1.0
9.124 -0.004 -0.003
8.712 2.711 -0.003
8.712 1.322 2.367
Ru Ir W
2 1 1
Cartesian
0.020 0.003 0.002
13.254 2.011 1.179
19.910 3.022 1.771
6.637 1.007 0.590
```



Record 5
Computed, not measured: a geometry-optimized CaMg2Tl structure at the PBE-GGA level of DFT.

Summary:
Crystal system: trigonal
Magnetic moment in μB/cell: 0.000
Energy of formation in meV/atom: 9
E above lowest polymorph in meV/atom: 215

Geometry as POSCAR:
```
CaMg2Tl
1.0
-10.484 -0.053 0.097
-9.828 -2.472 2.687
-9.839 1.046 3.468
Mg Ca Tl
2 1 1
Cartesian
-15.272 -0.749 3.166
-29.955 -1.469 6.210
-22.613 -1.109 4.688
-7.538 -0.370 1.563
```



Record 6
Computed, not measured: a geometry-optimized UCdAs2Rh5 structure at the PBE-GGA level of DFT.

Summary:
Crystal system: tetragonal
Magnetic moment in μB/cell: 1.898
Energy of formation in meV/atom: -348

Geometry as POSCAR:
```
UCdAs2Rh5
1.0
4.132 0.000 0.000
0.000 4.132 0.000
0.000 0.000 8.834
Rh U As Cd
5 1 2 1
Cartesian
2.066 0.000 6.372
0.000 2.066 6.372
2.066 2.066 4.417
0.000 2.066 2.462
2.066 0.000 2.462
0.000 0.000 0.000
2.066 2.066 7.586
2.066 2.066 1.249
0.000 0.000 4.417
```



Q: What is the magnetic moment in the fourth record?
A: 0.000 μB/cell



Q: magnetic moment of number 4 (IrRu2W)?
A: 0.000 μB/cell